Record 1
Below is a relaxed structure of MnZnAg3, with properties calculated at the PBE level.

a b c (Å): 4.973 4.973 4.973
angles (deg): 90.00 90.00 90.00
Site moments in Bohr magnetons follow the coordinates.
Element x y z (fractional)
1 Mn 0.000 0.000 0.000  3.96
2 Ag 0.000 0.000 0.500  0.10
3 Ag 0.000 0.500 0.000  0.07
4 Ag 0.500 0.000 0.000  0.06
5 Zn 0.500 0.500 0.500  0.02

Energy above the most stable polymorph in this dataset in meV/atom: 232.8
Energy of formation from the pure elements in eV/atom: 0.949
Spin magnetization in μB per cell: 4.392
SG: Pm-3m


Record 2
Below is a relaxed structure of MnZn4Ag2, with properties calculated at the PBE level.

a b c (Å): 2.820 2.801 13.847
angles (deg): 90.00 95.84 90.00
Site moments in Bohr magnetons follow the coordinates.
Element x y z (fractional)
1 Zn 0.632 0.000 0.264  -0.01
2 Zn 0.063 0.500 0.127  -0.05
3 Zn 0.937 0.500 0.873  -0.05
4 Zn 0.368 0.000 0.736  -0.01
5 Mn 0.500 0.000 0.000  3.02
6 Ag 0.796 0.500 0.592  0.00
7 Ag 0.204 0.500 0.408  0.00

Energy of formation from the pure elements in eV/atom: 0.038
Spin magnetization in μB per cell: 2.949
SG: Cmmm


Record 3
Below is a relaxed structure of MnZn4Ag, with properties calculated at the PBE level.

a b c (Å): 2.958 2.958 10.215
angles (deg): 90.00 90.00 90.00
Site moments in Bohr magnetons follow the coordinates.
Element x y z (fractional)
1 Ag 0.000 0.000 0.000  0.00
2 Zn 0.000 0.000 0.344  -0.04
3 Zn 0.500 0.500 0.819  0.01
4 Zn 0.000 0.000 0.656  -0.04
5 Zn 0.500 0.500 0.181  0.01
6 Mn 0.500 0.500 0.500  3.17

Energy above the most stable polymorph in this dataset in meV/atom: 0.0
Energy of formation from the pure elements in eV/atom: 0.015
Spin magnetization in μB per cell: 3.184
SG: P4/mmm


Record 4
Below is a relaxed structure of Mn2Zn2Ag, with properties calculated at the PBE level.

a b c (Å): 7.497 7.497 2.742
angles (deg): 90.00 90.00 90.00
Site moments in Bohr magnetons follow the coordinates.
Element x y z (fractional)
1 Mn 0.377 0.877 0.000  3.24
2 Mn 0.623 0.123 0.000  3.24
3 Mn 0.877 0.623 0.000  3.24
4 Mn 0.123 0.377 0.000  3.24
5 Ag 0.000 0.000 0.000  0.01
6 Ag 0.500 0.500 0.000  0.01
7 Zn 0.173 0.673 0.500  -0.04
8 Zn 0.673 0.827 0.500  -0.04
9 Zn 0.327 0.173 0.500  -0.04
10 Zn 0.827 0.327 0.500  -0.04

Energy above the most stable polymorph in this dataset in meV/atom: 66.2
Energy of formation from the pure elements in eV/atom: 0.241
Spin magnetization in μB per cell: 13.327
SG: P4/mbm


Record 5
Below is a relaxed structure of Mn2Zn2Ag, with properties calculated at the PBE level.

a b c (Å): 3.220 3.220 7.363
angles (deg): 77.37 77.37 90.00
Element x y z (fractional)
1 Zn 0.605 0.605 0.789
2 Zn 0.395 0.395 0.211
3 Ag 0.000 0.000 0.000
4 Mn 0.250 0.750 0.500
5 Mn 0.750 0.250 0.500

Energy above the most stable polymorph in this dataset in meV/atom: 210.8
Energy of formation from the pure elements in eV/atom: 0.385
Spin magnetization in μB per cell: 0.000
SG: I4/mmm


Record 6
Below is a relaxed structure of MnZn5Ag6, with properties calculated at the PBE level.

a b c (Å): 4.465 6.531 7.702
angles (deg): 115.08 105.22 90.00
Site moments in Bohr magnetons follow the coordinates.
Element x y z (fractional)
1 Ag 0.827 0.577 0.661  0.01
2 Ag 0.500 0.258 0.000  0.02
3 Ag 0.827 0.085 0.662  0.01
4 Ag 0.173 0.915 0.338  0.01
5 Ag 0.173 0.423 0.339  0.01
6 Ag 0.500 0.742 0.000  0.02
7 Zn 0.000 0.500 0.000  -0.02
8 Zn 0.337 0.841 0.682  -0.01
9 Zn 0.671 0.668 0.335  0.01
10 Zn 0.329 0.332 0.665  0.01
11 Zn 0.663 0.159 0.318  -0.01
12 Mn 0.000 0.000 0.000  3.93

Energy of formation from the pure elements in eV/atom: 0.022
Spin magnetization in μB per cell: 4.154
SG: C2/m


- Look up the energy of formation from the pure elements of the fourth one.
  0.241 eV/atom


- Among the records above, which one has the lowest energy of formation from the pure elements?
  MnZn4Ag


- Number 4 is which compound?
  Mn2Zn2Ag


- Look up the energy of formation from the pure elements of the fourth one.
  0.241 eV/atom